KBaTa: relaxed, GGA-PBE.

* formation energy from the elements: 0.838 eV per atom
* total moment: 0.00 Bohr magnetons per cell
* space-group type: P1
* calculated total energy: -24.7 eV/cell
* DOS(E_F): 6.93 states/eV per cell
* mass density: 4.76 g cm⁻³
* relative energy among the computed polymorphs: 385 meV per atom

Cell: 10.759 3.613 6.938 Å, 104.91 106.01 81.17°
Fractional positions:
1 Ta 0.003 0.168 0.256
2 Ta 0.123 0.739 0.509
3 Ba 0.221 0.448 0.018
4 Ba 0.405 0.143 0.577
5 K 0.666 0.775 0.162
6 K 0.860 0.466 0.718